Below is K2BiSb2 after structural relaxation, with properties calculated at the PBEsol level.

Properties
Density of states at the Fermi level (states/eV per cell): 3.73
Calculated volume (Å³ per atom): 34.8
Calculated total energy (eV/cell): -34.5

abc: 8.0362 8.0362 5.3920
angles: 90.00 90.00 90.00
Closest atoms and distances in Å follow each position.
Fractional coordinates of all 10 atoms:
K 0.1762 0.3238 0.0000  6 Sb 3.52-3.64
K 0.3238 0.8238 0.0000  6 Sb 3.52-3.64
K 0.6762 0.1762 0.0000  6 Sb 3.52-3.64
K 0.8238 0.6762 0.0000  6 Sb 3.52-3.64
Bi 0.0000 0.0000 0.5000  4 Sb 3.18
Bi 0.5000 0.5000 0.5000  4 Sb 3.18
Sb 0.1242 0.6242 0.5000  1 Sb 2.82
Sb 0.3758 0.1242 0.5000  1 Sb 2.82
Sb 0.6242 0.8758 0.5000  1 Sb 2.82
Sb 0.8758 0.3758 0.5000  1 Sb 2.82



Below is KBi2Sb2 after structural relaxation, with properties calculated at the PBEsol level.

Properties
Excess energy over the best structure of this formula in the dataset (eV/f.u.): 0.00
Density of states at the Fermi level (states/eV per cell): 1.56
Calculated volume (Å³ per atom): 36.5
Calculated total energy (eV/cell): -19.4

abc: 6.8373 6.8373 6.8373
angles: 130.10 130.10 73.25
Closest atoms and distances in Å follow each position.
Fractional coordinates of all 5 atoms:
K 0.0000 0.0000 0.0000  2 Bi 3.86, 8 Sb 3.98
Bi 0.3516 0.3516 0.0000  4 Sb 3.09, 1 Bi 3.26
Bi 0.6484 0.6484 0.0000  4 Sb 3.09, 1 Bi 3.26
Sb 0.2500 0.7500 0.5000  4 Bi 3.09
Sb 0.7500 0.2500 0.5000  4 Bi 3.09